Here is crystalline LiCeLuAl at its relaxed geometry from Alexandria. Energies are from GGA-PBE.

Properties
- ρ (Mg/m³) = 6.1
- E_tot (eV per atom) = -4.152
- ΔH_f (0 K) (eV per atom) = -0.1246
- density of states at the Fermi level (states/eV per atom) = 1.49

Cell and atoms, written as POSCAR:
```
LiCeLuAl
1.0
5.1145 0.0000 0.0000
2.5572 4.4292 0.0000
2.5572 1.4764 4.1759
Lu Al Ce Li
1 1 1 1
direct
0.7500 0.7500 0.7500
0.5000 0.5000 0.5000
0.2500 0.2500 0.2500
0.0000 0.0000 0.0000
```

***

Here is crystalline LiCeMgAl at its relaxed geometry from Alexandria. Energies are from GGA-PBE.

Properties
- ρ (Mg/m³) = 3.8
- E_tot (eV per atom) = -3.434
- ΔH_f (0 K) (eV per atom) = -0.1382
- density of states at the Fermi level (states/eV per atom) = 1.44

Cell and atoms, written as POSCAR:
```
LiCeMgAl
1.0
-3.3027 2.6992 2.5768
-4.2472 -2.0872 1.5614
-0.7017 -0.8909 4.8526
Mg Al Ce Li
1 1 1 1
direct
0.7500 0.7500 0.7500
0.5000 0.5000 0.5000
0.2500 0.2500 0.2500
0.0000 0.0000 0.0000
```

***

Here is crystalline LiCeNdAl at its relaxed geometry from Alexandria. Energies are from GGA-PBE.

Properties
- ρ (Mg/m³) = 5.1
- E_tot (eV per atom) = -4.186
- ΔH_f (0 K) (eV per atom) = -0.0961
- density of states at the Fermi level (states/eV per atom) = 1.92

Cell and atoms, written as POSCAR:
```
LiCeNdAl
1.0
-4.2462 2.4154 -1.9438
-1.7730 -1.2490 -4.7895
-4.5162 -2.6401 -0.5255
Nd Al Ce Li
1 1 1 1
direct
0.2500 0.2500 0.2500
0.5000 0.5000 0.5000
0.7500 0.7500 0.7500
0.0000 0.0000 0.0000
```

***

Here is crystalline LiCeAlNi at its relaxed geometry from Alexandria. Energies are from GGA-PBE.

Properties
- ρ (Mg/m³) = 5.7
- E_tot (eV per atom) = -4.655
- ΔH_f (0 K) (eV per atom) = -0.3119
- density of states at the Fermi level (states/eV per atom) = 0.45

Cell and atoms, written as POSCAR:
```
LiCeAlNi
1.0
4.5862 0.0000 0.0000
2.2931 3.9718 0.0000
2.2931 1.3239 3.7446
Ni Al Ce Li
1 1 1 1
direct
0.2500 0.2500 0.2500
0.5000 0.5000 0.5000
0.0000 0.0000 0.0000
0.7500 0.7500 0.7500
```

***

Here is crystalline Li2Ce2AlO6 at its relaxed geometry from Alexandria. Energies are from GGA-PBE.

Properties
- ρ (Mg/m³) = 5.4
- E_tot (eV per atom) = -7.074
- formation energy without anion corrections (eV/atom) = -2.6024
- density of states at the Fermi level (states/eV per atom) = 0.48

Cell and atoms, written as POSCAR:
```
Li2Ce2AlO6
1.0
5.6024 0.0000 0.0000
2.8012 4.8518 0.0000
2.8012 1.6173 4.7393
Li Ce Al O
2 2 1 6
direct
0.4251 0.4251 0.7246
0.5749 0.5749 0.2754
0.7914 0.7914 0.6258
0.2086 0.2086 0.3742
0.0000 0.0000 0.0000
0.7631 0.7631 0.2590
0.2149 0.7631 0.2590
0.7631 0.2149 0.2590
0.2369 0.7851 0.7410
0.7851 0.2369 0.7410
0.2369 0.2369 0.7410
```

***

Here is crystalline LiCe4Al3O12 at its relaxed geometry from Alexandria. Energies are from GGA-PBE.

Properties
- ρ (Mg/m³) = 6.6
- E_tot (eV per atom) = -7.849
- formation energy without anion corrections (eV/atom) = -3.0300
- density of states at the Fermi level (states/eV per atom) = 1.02

Cell and atoms, written as POSCAR:
```
LiCe4Al3O12
1.0
-5.3004 -3.5243 -1.3802
5.3353 -3.4722 -1.3778
-0.0090 1.5481 6.3264
Li Ce Al O
1 4 3 12
direct
0.0000 0.0000 0.0000
0.5000 0.5000 0.5000
0.0000 0.0000 0.5000
0.5000 0.0000 0.0000
0.0000 0.5000 0.0000
0.5000 0.0000 0.5000
0.5000 0.5000 0.0000
0.0000 0.5000 0.5000
0.2500 0.5000 0.7500
0.7409 0.0000 0.7409
0.2591 0.0000 0.2591
0.7500 0.5000 0.2500
0.7409 0.7409 0.0000
0.2591 0.2591 0.0000
0.7500 0.2500 0.5000
0.2500 0.7500 0.5000
0.5000 0.2500 0.7500
0.0000 0.7409 0.7409
0.5000 0.7500 0.2500
0.0000 0.2591 0.2591
```

***

Here is crystalline LiCe2AlO5 at its relaxed geometry from Alexandria. Energies are from GGA-PBE.

Properties
- ρ (Mg/m³) = 6.1
- E_tot (eV per atom) = -7.643
- formation energy without anion corrections (eV/atom) = -2.9417
- density of states at the Fermi level (states/eV per atom) = 0.99

Cell and atoms, written as POSCAR:
```
LiCe2AlO5
1.0
3.3625 0.0000 0.0000
-1.6812 6.8270 0.0000
0.0000 0.0000 9.2801
Li Ce Al O
2 4 2 10
direct
0.7774 0.5548 0.5049
0.2226 0.4452 0.0049
0.8800 0.7600 0.8091
0.1282 0.2564 0.6856
0.1200 0.2400 0.3091
0.8718 0.7436 0.1856
0.5831 0.1662 0.9799
0.4169 0.8338 0.4799
0.3581 0.7162 0.0065
0.6947 0.3893 0.8616
0.5128 0.0256 0.7987
0.3175 0.6351 0.6442
0.9558 0.9117 0.5334
0.6419 0.2838 0.5065
0.3053 0.6107 0.3616
0.4872 0.9744 0.2987
0.6825 0.3649 0.1442
0.0442 0.0883 0.0334
```

***

Here is crystalline LiCeAlOs at its relaxed geometry from Alexandria. Energies are from GGA-PBE.

Properties
- ρ (Mg/m³) = 8.5
- E_tot (eV per atom) = -5.905
- ΔH_f (0 K) (eV per atom) = -0.2003
- density of states at the Fermi level (states/eV per atom) = 1.04

Cell and atoms, written as POSCAR:
```
LiCeAlOs
1.0
-2.7666 -3.6704 -0.6638
1.7602 -4.2943 0.1639
-1.0363 -2.8001 3.5570
Os Al Ce Li
1 1 1 1
direct
0.5000 0.5000 0.5000
0.2500 0.2500 0.2500
0.7500 0.7500 0.7500
0.0000 0.0000 0.0000
```

***

Here is crystalline LiCeAlPb at its relaxed geometry from Alexandria. Energies are from GGA-PBE.

Properties
- ρ (Mg/m³) = 6.5
- E_tot (eV per atom) = -4.027
- ΔH_f (0 K) (eV per atom) = -0.2026
- density of states at the Fermi level (states/eV per atom) = 1.42

Cell and atoms, written as POSCAR:
```
LiCeAlPb
1.0
5.1606 0.0000 0.0000
2.5803 4.4692 0.0000
2.5803 1.4897 4.2136
Pb Al Ce Li
1 1 1 1
direct
0.2500 0.2500 0.2500
0.7500 0.7500 0.7500
0.5000 0.5000 0.5000
0.0000 0.0000 0.0000
```

***

Here is crystalline Li2CeAlPd4 at its relaxed geometry from Alexandria. Energies are from GGA-PBE.

Properties
- ρ (Mg/m³) = 7.7
- E_tot (eV per atom) = -4.945
- ΔH_f (0 K) (eV per atom) = -0.6607
- density of states at the Fermi level (states/eV per atom) = 0.77

Cell and atoms, written as POSCAR:
```
Li2CeAlPd4
1.0
-3.4982 0.4087 -2.5647
-2.1151 -3.5497 -1.3813
-6.5820 -0.7583 5.1562
Li Ce Al Pd
2 1 1 4
direct
0.7610 0.7610 0.7170
0.2390 0.2390 0.2830
0.0000 0.0000 0.0000
0.5000 0.5000 0.5000
0.3955 0.3955 0.8136
0.8696 0.8696 0.3913
0.1304 0.1304 0.6087
0.6045 0.6045 0.1864
```

***

Here is crystalline LiCePrAl at its relaxed geometry from Alexandria. Energies are from GGA-PBE.

Properties
- ρ (Mg/m³) = 5.0
- E_tot (eV per atom) = -4.183
- ΔH_f (0 K) (eV per atom) = -0.0908
- density of states at the Fermi level (states/eV per atom) = 1.89

Cell and atoms, written as POSCAR:
```
LiCePrAl
1.0
-2.7644 -4.0331 -1.9896
1.2533 -1.9803 -4.7300
2.1997 -4.7852 -0.3593
Pr Al Ce Li
1 1 1 1
direct
0.7500 0.7500 0.7500
0.5000 0.5000 0.5000
0.2500 0.2500 0.2500
0.0000 0.0000 0.0000
```

***

Here is crystalline LiCeAl2Pt4 at its relaxed geometry from Alexandria. Energies are from GGA-PBE.

Properties
- ρ (Mg/m³) = 12.1
- E_tot (eV per atom) = -5.965
- ΔH_f (0 K) (eV per atom) = -1.0283
- density of states at the Fermi level (states/eV per atom) = 0.58

Cell and atoms, written as POSCAR:
```
LiCeAl2Pt4
1.0
4.2466 0.0000 0.0000
2.1233 3.6777 0.0000
2.1233 1.2259 8.5884
Li Ce Al Pt
1 1 2 4
direct
0.5000 0.5000 0.5000
0.0000 0.0000 0.0000
0.7651 0.7651 0.7047
0.2349 0.2349 0.2953
0.4015 0.4015 0.7954
0.8673 0.8673 0.3981
0.1327 0.1327 0.6019
0.5985 0.5985 0.2046
```